Fe3CuPd7: relaxed, PBE.

```
Fe3CuPd7
1.0
-2.225 -3.475 -2.233
6.324 -1.385 0.786
-0.918 -0.383 6.445
Fe Cu Pd
3 1 7
Cartesian
4.659 -1.155 2.087
-1.113 -1.737 -1.116
0.747 -0.613 5.144
1.590 -2.621 2.499
0.568 -0.938 0.893
-1.004 -1.420 3.215
0.110 -3.259 4.967
3.070 -1.984 0.031
2.703 -0.884 3.615
4.184 -3.823 1.784
2.612 -4.304 4.105
```

Output
Energy, eV/atom: -5.82
D(E_F), states/eV/f.u.: 7.45
Energy of formation from the pure elements, eV per atom: 0.163